No. 1
First-principles (PBE) data for a relaxed BeSi2Pt2 crystal, as listed in the Alexandria database.

Summary:
The total magnetization is 0.00 μB per cell. The calculation puts the formation energy (no corrections) at -0.078 eV per atom. The distance to the lowest polymorph of the same formula comes out at 101 meV per atom. The calculation puts the raw total energy at -54.09 eV for the cell shown.

Unit cell a=6.0704 b=6.0704 c=3.9800 alpha=90.00 beta=90.00 gamma=90.00
Closest atoms and distances in Å follow each position.
Space group P4/mbm (No. 127)
Asymmetric unit:
Be: 0.0000 0.0000 0.0000 x2  4 Si 2.38
Si: 0.1296 0.3704 0.0000 x4  1 Si 2.23, 2 Pt 2.33, 2 Be 2.38
Pt: 0.2294 0.7294 0.5000 x4  2 Si 2.33

---

No. 2
First-principles (PBE) data for a relaxed BeSi2Pt crystal, as listed in the Alexandria database.

Summary:
The total magnetization is 0.00 μB per cell. The calculation puts the formation energy (no corrections) at 0.075 eV per atom. The calculation puts the raw total energy at -20.31 eV for the cell shown.

Unit cell a=2.8144 b=3.5230 c=5.2979 alpha=90.00 beta=90.00 gamma=90.00
Closest atoms and distances in Å follow each position.
Space group Pmmm (No. 47)
Asymmetric unit:
Be: 0.0000 0.0000 0.0000 x1  8 Si 2.55, 2 Pt 2.65, 2 Be 2.81
Si: 0.5000 0.5000 0.2235 x2  1 Si 2.37, 4 Be 2.55
Pt: 0.0000 0.0000 0.5000 x1  2 Be 2.65, 8 Si 2.69, 2 Pt 2.81